(1)
# PBE+U Y3MnF, optimized geometry
data_Y3MnF
_chemical_formula_sum 'Y3 Mn1 F1'
_cell_length_a 4.9064
_cell_length_b 4.9064
_cell_length_c 4.9064
_cell_angle_alpha 90.00
_cell_angle_beta 90.00
_cell_angle_gamma 90.00
_space_group_name_H-M_alt 'P m -3 m'
_space_group_IT_number 221
_space_group_name_Hall '-P 4 2 3'
loop_
_atom_site_label
_atom_site_type_symbol
_atom_site_fract_x
_atom_site_fract_y
_atom_site_fract_z
Y1 Y 0.0000 0.0000 0.5000
Mn1 Mn 0.5000 0.5000 0.5000
F1 F 0.0000 0.0000 0.0000
# crystal system: cubic
# energy relative to the lowest polymorph listed for this composition: 0 meV per atom
# total moment: 3.73 μB/f.u.
# VASP energy: -6.51 eV per atom

=====

(2)
# PBE+U YZrMn2F, optimized geometry
data_YZrMn2F
_chemical_formula_sum 'Y1 Zr1 Mn2 F1'
_cell_length_a 5.7560
_cell_length_b 5.7560
_cell_length_c 4.0661
_cell_angle_alpha 90.00
_cell_angle_beta 90.00
_cell_angle_gamma 90.00
_space_group_name_H-M_alt 'P 4/m m m'
_space_group_IT_number 123
_space_group_name_Hall '-P 4 2'
loop_
_atom_site_label
_atom_site_type_symbol
_atom_site_fract_x
_atom_site_fract_y
_atom_site_fract_z
Y1 Y 0.0000 0.0000 0.0000
Zr1 Zr 0.5000 0.5000 0.5000
Mn1 Mn 0.0000 0.5000 0.0000
F1 F 0.0000 0.0000 0.5000
# crystal system: tetragonal
# total moment: 7.22 μB/f.u.
# VASP energy: -6.20 eV per atom

=====

(3)
# PBE+U MnZn3F6, optimized geometry
data_MnZn3F6
_chemical_formula_sum 'Mn1 Zn3 F6'
_cell_length_a 5.0038
_cell_length_b 5.4081
_cell_length_c 6.0267
_cell_angle_alpha 68.71
_cell_angle_beta 87.91
_cell_angle_gamma 81.75
_space_group_name_H-M_alt 'P -1'
_space_group_IT_number 2
_space_group_name_Hall '-P 1'
loop_
_atom_site_label
_atom_site_type_symbol
_atom_site_fract_x
_atom_site_fract_y
_atom_site_fract_z
Mn1 Mn 0.0000 0.0000 0.0000
Zn1 Zn 0.0000 0.0000 0.5000
Zn2 Zn 0.0000 0.5000 0.5000
Zn3 Zn 0.5000 0.5000 0.0000
F1 F 0.1926 0.3513 0.8749
F2 F 0.2860 0.6248 0.2864
F3 F 0.3235 0.8614 0.8141
# crystal system: triclinic
# energy relative to the lowest polymorph listed for this composition: 17 meV per atom
# total moment: 5.00 μB/f.u.
# VASP energy: -4.14 eV per atom